# 1
First-principles (meta-GGA SCAN) data for a crystal of Ag3Au relaxed with PBEsol, as listed in the Alexandria database.

The structure in CIF format:
```
data_Ag3Au
_chemical_formula_sum 'Ag6 Au2'
_cell_length_a 4.694
_cell_length_b 5.767
_cell_length_c 4.922
_cell_angle_alpha 90.00
_cell_angle_beta 90.00
_cell_angle_gamma 90.00
_symmetry_space_group_name_H-M 'P m m n'
_symmetry_Int_Tables_number 59
loop_
_symmetry_equiv_pos_as_xyz
'x,y,z'
'-x,-y,-z'
'-x+1/2,-y+1/2,z'
'x+1/2,y+1/2,-z'
'x+1/2,-y,-z'
'-x+1/2,y,z'
'-x,y+1/2,-z'
'x,-y+1/2,z'
loop_
_atom_site_label
_atom_site_type_symbol
_atom_site_fract_x
_atom_site_fract_y
_atom_site_fract_z
_atom_site_occupancy
Ag1 Ag 0.250 0.000 0.168 1
Ag2 Ag 0.250 0.250 0.665 1
Au1 Au 0.250 0.750 0.670 1
```

Output
Magnetization (μB/cell): 0.00
Total DFT energy (no corrections) (eV/atom): -40.8745
Calculated volume (Å³ per cell): 133

***

# 2
First-principles (meta-GGA SCAN) data for a crystal of Ag3Au relaxed with PBEsol, as listed in the Alexandria database.

The structure in CIF format:
```
data_Ag3Au
_chemical_formula_sum 'Ag3 Au1'
_cell_length_a 2.844
_cell_length_b 4.043
_cell_length_c 5.779
_cell_angle_alpha 90.00
_cell_angle_beta 90.00
_cell_angle_gamma 90.00
_symmetry_space_group_name_H-M 'P m m m'
_symmetry_Int_Tables_number 47
loop_
_symmetry_equiv_pos_as_xyz
'x,y,z'
'-x,-y,-z'
'-x,-y,z'
'x,y,-z'
'x,-y,-z'
'-x,y,z'
'-x,y,-z'
'x,-y,z'
loop_
_atom_site_label
_atom_site_type_symbol
_atom_site_fract_x
_atom_site_fract_y
_atom_site_fract_z
_atom_site_occupancy
Ag1 Ag 0.000 0.000 0.000 1
Ag2 Ag 0.500 0.500 0.249 1
Au1 Au 0.000 0.000 0.500 1
```

Output
Magnetization (μB/cell): 0.00
Total DFT energy (no corrections) (eV/atom): -40.8717
Calculated volume (Å³ per cell): 66

***

# 3
First-principles (meta-GGA SCAN) data for a crystal of Ag3Au relaxed with PBEsol, as listed in the Alexandria database.

The structure in CIF format:
```
data_Ag3Au
_chemical_formula_sum 'Ag6 Au2'
_cell_length_a 5.156
_cell_length_b 5.156
_cell_length_c 5.156
_cell_angle_alpha 90.00
_cell_angle_beta 90.00
_cell_angle_gamma 90.00
_symmetry_space_group_name_H-M 'P m -3 n'
_symmetry_Int_Tables_number 223
_symmetry_space_group_name_Hall '-P 4n 2 3'
loop_
_atom_site_label
_atom_site_type_symbol
_atom_site_fract_x
_atom_site_fract_y
_atom_site_fract_z
_atom_site_occupancy
Ag1 Ag 0.000 0.250 0.500 1
Au1 Au 0.000 0.000 0.000 1
```

Output
Magnetization (μB/cell): 0.00
Total DFT energy (no corrections) (eV/atom): -40.7810
Calculated volume (Å³ per cell): 137

***

# 4
First-principles (meta-GGA SCAN) data for a crystal of Ag3Au2 relaxed with PBEsol, as listed in the Alexandria database.

The structure in CIF format:
```
data_Ag3Au2
_chemical_formula_sum 'Ag6 Au4'
_cell_length_a 9.026
_cell_length_b 4.060
_cell_length_c 6.380
_cell_angle_alpha 90.00
_cell_angle_beta 134.58
_cell_angle_gamma 90.00
_symmetry_space_group_name_H-M 'C 1 2/m 1'
_symmetry_Int_Tables_number 12
loop_
_symmetry_equiv_pos_as_xyz
'x,y,z'
'-x,-y,-z'
'-x,y,-z'
'x,-y,z'
'x+1/2,y+1/2,z'
'-x+1/2,-y+1/2,-z'
'-x+1/2,y+1/2,-z'
'x+1/2,-y+1/2,z'
loop_
_atom_site_label
_atom_site_type_symbol
_atom_site_fract_x
_atom_site_fract_y
_atom_site_fract_z
_atom_site_occupancy
Ag1 Ag 0.000 0.000 0.000 1
Ag2 Ag 0.100 0.500 0.800 1
Au1 Au 0.200 0.000 0.601 1
```

Output
Magnetization (μB/cell): 0.00
Energy above the most stable polymorph in this dataset (meV per atom): 3
Total DFT energy (no corrections) (eV/atom): -46.5616
Calculated volume (Å³ per cell): 167

***

# 5
First-principles (meta-GGA SCAN) data for a crystal of Ag4Au5 relaxed with PBEsol, as listed in the Alexandria database.

The structure in CIF format:
```
data_Ag4Au5
_chemical_formula_sum 'Ag8 Au10'
_cell_length_a 8.0137
_cell_length_b 8.0137
_cell_length_c 5.5145
_cell_angle_alpha 90.00
_cell_angle_beta 90.00
_cell_angle_gamma 120.00
_symmetry_space_group_name_H-M 'P 63/m c m'
_symmetry_Int_Tables_number 193
_symmetry_space_group_name_Hall '-P 6c 2'
loop_
_atom_site_label
_atom_site_type_symbol
_atom_site_fract_x
_atom_site_fract_y
_atom_site_fract_z
_atom_site_occupancy
Ag1 Ag 0.0000 0.0000 0.0000 1
Ag2 Ag 0.0000 0.3357 0.2500 1
Au1 Au 0.0000 0.3294 0.7500 1
Au2 Au 0.3333 0.6667 0.0000 1
```

Output
Magnetization (μB/cell): 0.00
Energy above the most stable polymorph in this dataset (meV per atom): 71
Total DFT energy (no corrections) (eV/atom): -52.3603
Calculated volume (Å³ per cell): 307

***

# 6
First-principles (meta-GGA SCAN) data for a crystal of AgAu4 relaxed with PBEsol, as listed in the Alexandria database.

The structure in CIF format:
```
data_AgAu4
_chemical_formula_sum 'Ag2 Au8'
_cell_length_a 2.860
_cell_length_b 2.860
_cell_length_c 20.547
_cell_angle_alpha 90.00
_cell_angle_beta 90.00
_cell_angle_gamma 90.00
_symmetry_space_group_name_H-M 'I 4/m m m'
_symmetry_Int_Tables_number 139
_symmetry_space_group_name_Hall '-I 4 2'
loop_
_atom_site_label
_atom_site_type_symbol
_atom_site_fract_x
_atom_site_fract_y
_atom_site_fract_z
_atom_site_occupancy
Ag1 Ag 0.000 0.000 0.000 1
Au1 Au 0.000 0.000 0.200 1
Au2 Au 0.000 0.000 0.401 1
```

Output
Magnetization (μB/cell): 0.00
Energy above the most stable polymorph in this dataset (meV per atom): 12
Total DFT energy (no corrections) (eV/atom): -61.6350
Calculated volume (Å³ per cell): 168

***

# 7
First-principles (meta-GGA SCAN) data for a crystal of Ag3Au2 relaxed with PBEsol, as listed in the Alexandria database.

The structure in CIF format:
```
data_Ag3Au2
_chemical_formula_sum 'Ag24 Au16'
_cell_length_a 9.967
_cell_length_b 14.143
_cell_length_c 5.172
_cell_angle_alpha 90.00
_cell_angle_beta 90.00
_cell_angle_gamma 90.00
_symmetry_space_group_name_H-M 'F d d 2'
_symmetry_Int_Tables_number 43
_symmetry_space_group_name_Hall 'F 2 -2d'
loop_
_atom_site_label
_atom_site_type_symbol
_atom_site_fract_x
_atom_site_fract_y
_atom_site_fract_z
_atom_site_occupancy
Ag1 Ag 0.000 0.000 0.000 1
Ag2 Ag 0.038 0.099 0.481 1
Au1 Au 0.022 0.203 0.949 1
```

Output
Magnetization (μB/cell): 0.00
Energy above the most stable polymorph in this dataset (meV per atom): 57
Total DFT energy (no corrections) (eV/atom): -46.5079
Calculated volume (Å³ per cell): 729

***

# 8
First-principles (meta-GGA SCAN) data for a crystal of Ag17Au12 relaxed with PBEsol, as listed in the Alexandria database.

The structure in CIF format:
```
data_Ag17Au12
_chemical_formula_sum 'Ag34 Au24'
_cell_length_a 10.004
_cell_length_b 10.004
_cell_length_c 10.004
_cell_angle_alpha 90.00
_cell_angle_beta 90.00
_cell_angle_gamma 90.00
_symmetry_space_group_name_H-M 'I -4 3 m'
_symmetry_Int_Tables_number 217
_symmetry_space_group_name_Hall 'I -4 2 3'
loop_
_atom_site_label
_atom_site_type_symbol
_atom_site_fract_x
_atom_site_fract_y
_atom_site_fract_z
_atom_site_occupancy
Ag1 Ag 0.000 0.000 0.000 1
Ag2 Ag 0.054 0.363 0.637 1
Ag3 Ag 0.169 0.169 0.169 1
Au1 Au 0.095 0.095 0.712 1
```

Output
Magnetization (μB/cell): 0.00
Total DFT energy (no corrections) (eV/atom): -47.0279
Calculated volume (Å³ per cell): 1001

***

# 9
First-principles (meta-GGA SCAN) data for a crystal of Ag3Au2 relaxed with PBEsol, as listed in the Alexandria database.

The structure in CIF format:
```
data_Ag3Au2
_chemical_formula_sum 'Ag6 Au4'
_cell_length_a 2.849
_cell_length_b 2.849
_cell_length_c 20.506
_cell_angle_alpha 90.00
_cell_angle_beta 90.00
_cell_angle_gamma 90.00
_symmetry_space_group_name_H-M 'I 4/m m m'
_symmetry_Int_Tables_number 139
_symmetry_space_group_name_Hall '-I 4 2'
loop_
_atom_site_label
_atom_site_type_symbol
_atom_site_fract_x
_atom_site_fract_y
_atom_site_fract_z
_atom_site_occupancy
Ag1 Ag 0.000 0.000 0.000 1
Ag2 Ag 0.000 0.000 0.200 1
Au1 Au 0.000 0.000 0.400 1
```

Output
Magnetization (μB/cell): 0.00
Energy above the most stable polymorph in this dataset (meV per atom): 9
Total DFT energy (no corrections) (eV/atom): -46.5560
Calculated volume (Å³ per cell): 166

***

# 10
First-principles (meta-GGA SCAN) data for a crystal of Ag3Au relaxed with PBEsol, as listed in the Alexandria database.

The structure in CIF format:
```
data_Ag3Au
_chemical_formula_sum 'Ag6 Au2'
_cell_length_a 2.844
_cell_length_b 9.465
_cell_length_c 4.948
_cell_angle_alpha 90.00
_cell_angle_beta 90.00
_cell_angle_gamma 90.00
_symmetry_space_group_name_H-M 'I m m 2'
_symmetry_Int_Tables_number 44
loop_
_symmetry_equiv_pos_as_xyz
'x,y,z'
'-x,-y,z'
'-x,y,z'
'x,-y,z'
'x+1/2,y+1/2,z+1/2'
'-x+1/2,-y+1/2,z+1/2'
'-x+1/2,y+1/2,z+1/2'
'x+1/2,-y+1/2,z+1/2'
loop_
_atom_site_label
_atom_site_type_symbol
_atom_site_fract_x
_atom_site_fract_y
_atom_site_fract_z
_atom_site_occupancy
Ag1 Ag 0.000 0.000 0.000 1
Ag2 Ag 0.000 0.249 0.667 1
Au1 Au 0.000 0.500 0.998 1
```

Output
Magnetization (μB/cell): 0.00
Total DFT energy (no corrections) (eV/atom): -40.8634
Calculated volume (Å³ per cell): 133

***

# 11
First-principles (meta-GGA SCAN) data for a crystal of AgAu4 relaxed with PBEsol, as listed in the Alexandria database.

The structure in CIF format:
```
data_AgAu4
_chemical_formula_sum 'Ag2 Au8'
_cell_length_a 2.854
_cell_length_b 4.099
_cell_length_c 14.376
_cell_angle_alpha 90.00
_cell_angle_beta 90.00
_cell_angle_gamma 90.00
_symmetry_space_group_name_H-M 'I m m m'
_symmetry_Int_Tables_number 71
_symmetry_space_group_name_Hall '-I 2 2'
loop_
_atom_site_label
_atom_site_type_symbol
_atom_site_fract_x
_atom_site_fract_y
_atom_site_fract_z
_atom_site_occupancy
Ag1 Ag 0.000 0.000 0.000 1
Au1 Au 0.000 0.000 0.200 1
Au2 Au 0.000 0.000 0.401 1
```

Output
Magnetization (μB/cell): 0.00
Energy above the most stable polymorph in this dataset (meV per atom): 5
Total DFT energy (no corrections) (eV/atom): -61.6424
Calculated volume (Å³ per cell): 168

***

# 12
First-principles (meta-GGA SCAN) data for a crystal of AgAu4 relaxed with PBEsol, as listed in the Alexandria database.

The structure in CIF format:
```
data_AgAu4
_chemical_formula_sum 'Ag3 Au12'
_cell_length_a 2.8772
_cell_length_b 2.8772
_cell_length_c 35.1833
_cell_angle_alpha 90.00
_cell_angle_beta 90.00
_cell_angle_gamma 120.00
_symmetry_space_group_name_H-M 'R -3 m'
_symmetry_Int_Tables_number 166
_symmetry_space_group_name_Hall '-R 3 2"'
loop_
_atom_site_label
_atom_site_type_symbol
_atom_site_fract_x
_atom_site_fract_y
_atom_site_fract_z
_atom_site_occupancy
Ag1 Ag 0.0000 0.0000 0.0000 1
Au1 Au 0.0000 0.0000 0.2001 1
Au2 Au 0.0000 0.0000 0.3993 1
```

Output
Magnetization (μB/cell): 0.00
Energy above the most stable polymorph in this dataset (meV per atom): 19
Total DFT energy (no corrections) (eV/atom): -61.6283
Calculated volume (Å³ per cell): 252